[1]
First-principles (GGA-PBE) data for a relaxed structure of RbV2Cu, as listed in Alexandria.

Results
* DFT total energy: -35.08 eV/cell
* energy above the most stable polymorph in this dataset: 0.000 eV/atom
* symmetry: No. 122
* density of states at the Fermi level: 9.74 states/eV per cell
* calculated volume: 173.8 Å³ per cell

Geometry as POSCAR:
```
RbV2Cu
1.0
-2.054 2.054 10.305
2.054 -2.054 10.305
2.054 2.054 -10.305
Rb V Cu
2 4 2
direct
0.000 0.000 0.000 Rb
0.750 0.250 0.500 Rb
0.271 0.125 0.646 V
0.375 0.729 0.854 V
0.479 0.625 0.354 V
0.875 0.521 0.146 V
0.250 0.750 0.500 Cu
0.500 0.500 0.000 Cu
```

---

[2]
First-principles (GGA-PBE) data for a relaxed structure of ZrTi3In, as listed in Alexandria.

Results
* DFT total energy: -29.98 eV/cell
* energy above the most stable polymorph in this dataset: 0.764 eV/atom
* symmetry: No. 221
* density of states at the Fermi level: 7.00 states/eV per cell
* calculated volume: 113.9 Å³ per cell

Geometry as POSCAR:
```
ZrTi3In
1.0
4.847 0.000 0.000
0.000 4.847 0.000
0.000 0.000 4.847
Zr Ti In
1 3 1
direct
0.000 0.000 0.000 Zr
0.000 0.000 0.500 Ti
0.000 0.500 0.000 Ti
0.500 0.000 0.000 Ti
0.500 0.500 0.500 In
```

---

[3]
First-principles (GGA-PBE) data for a relaxed structure of Ac5Co2Ni, as listed in Alexandria.

Results
* DFT total energy: -81.23 eV/cell
* symmetry: No. 63
* density of states at the Fermi level: 12.30 states/eV per cell
* calculated volume: 552.3 Å³ per cell

Geometry as POSCAR:
```
Ac5Co2Ni
1.0
2.877 -6.667 0.000
2.877 6.667 0.000
0.000 0.000 14.397
Ac Co Ni
10 4 2
direct
0.051 0.949 0.618 Ac
0.051 0.949 0.882 Ac
0.243 0.757 0.250 Ac
0.335 0.665 0.564 Ac
0.335 0.665 0.936 Ac
0.665 0.335 0.064 Ac
0.665 0.335 0.436 Ac
0.757 0.243 0.750 Ac
0.949 0.051 0.118 Ac
0.949 0.051 0.382 Ac
0.146 0.854 0.058 Co
0.146 0.854 0.442 Co
0.854 0.146 0.558 Co
0.854 0.146 0.942 Co
0.218 0.782 0.750 Ni
0.782 0.218 0.250 Ni
```

---

[4]
First-principles (GGA-PBE) data for a relaxed structure of RbPr2Cl8, as listed in Alexandria.

Results
* DFT total energy: -47.53 eV/cell
* symmetry: No. 12
* density of states at the Fermi level: 8.70 states/eV per cell
* calculated volume: 329.8 Å³ per cell
* E_form (uncorrected): -2021 meV/atom

Geometry as POSCAR:
```
RbPr2Cl8
1.0
4.372 -6.998 0.000
4.372 6.998 0.000
-0.011 0.000 5.389
Rb Pr Cl
1 2 8
direct
0.000 0.000 0.000 Rb
0.303 0.697 0.500 Pr
0.697 0.303 0.500 Pr
0.057 0.327 0.502 Cl
0.257 0.743 0.000 Cl
0.327 0.057 0.502 Cl
0.499 0.499 0.247 Cl
0.501 0.501 0.753 Cl
0.673 0.943 0.498 Cl
0.743 0.257 0.000 Cl
0.943 0.673 0.498 Cl
```

---

[5]
First-principles (GGA-PBE) data for a relaxed structure of K4Au3F12, as listed in Alexandria.

Results
* DFT total energy: -72.07 eV/cell
* symmetry: No. 204
* density of states at the Fermi level: 8.49 states/eV per cell
* calculated volume: 412.8 Å³ per cell
* E_form (uncorrected): -1863 meV/atom

Geometry as POSCAR:
```
K4Au3F12
1.0
-4.691 4.691 4.691
4.691 -4.691 4.691
4.691 4.691 -4.691
K Au F
4 3 12
direct
0.000 0.000 0.500 K
0.000 0.500 0.000 K
0.500 0.000 0.000 K
0.500 0.500 0.500 K
0.000 0.500 0.500 Au
0.500 0.000 0.500 Au
0.500 0.500 0.000 Au
0.152 0.348 0.500 F
0.152 0.652 0.804 F
0.196 0.848 0.348 F
0.348 0.196 0.848 F
0.348 0.500 0.152 F
0.500 0.152 0.348 F
0.500 0.848 0.652 F
0.652 0.500 0.848 F
0.652 0.804 0.152 F
0.804 0.152 0.652 F
0.848 0.348 0.196 F
0.848 0.652 0.500 F
```

---

[6]
First-principles (GGA-PBE) data for a relaxed structure of BeSbAu, as listed in Alexandria.

Results
* DFT total energy: -22.33 eV/cell
* symmetry: No. 2
* density of states at the Fermi level: 2.34 states/eV per cell
* calculated volume: 115.1 Å³ per cell
* E_form (uncorrected): -14 meV/atom

Geometry as POSCAR:
```
BeSbAu
1.0
3.761 0.000 0.000
1.878 3.879 0.000
0.018 0.776 7.889
Be Sb Au
2 2 2
direct
0.238 0.026 0.103 Be
0.762 0.974 0.897 Be
0.358 0.788 0.647 Sb
0.642 0.212 0.353 Sb
0.071 0.359 0.839 Au
0.929 0.641 0.161 Au
```

---

[7]
First-principles (GGA-PBE) data for a relaxed structure of Tl3Hg2Cl8, as listed in Alexandria.

Results
* DFT total energy: -31.32 eV/cell
* symmetry: No. 166
* density of states at the Fermi level: 6.93 states/eV per cell
* calculated volume: 435.4 Å³ per cell
* E_form (uncorrected): -681 meV/atom

Geometry as POSCAR:
```
Tl3Hg2Cl8
1.0
3.909 2.257 8.227
-3.909 2.257 8.227
0.000 -4.513 8.227
Tl Hg Cl
3 2 8
direct
0.000 0.000 0.000 Tl
0.191 0.191 0.191 Tl
0.809 0.809 0.809 Tl
0.409 0.409 0.409 Hg
0.591 0.591 0.591 Hg
0.205 0.743 0.743 Cl
0.257 0.257 0.795 Cl
0.257 0.795 0.257 Cl
0.306 0.306 0.306 Cl
0.694 0.694 0.694 Cl
0.743 0.205 0.743 Cl
0.743 0.743 0.205 Cl
0.795 0.257 0.257 Cl
```

---

[8]
First-principles (GGA-PBE) data for a relaxed structure of TbCe2PuSe4, as listed in Alexandria.

Results
* DFT total energy: -58.74 eV/cell
* symmetry: No. 10
* density of states at the Fermi level: 19.62 states/eV per cell
* calculated volume: 204.1 Å³ per cell
* E_form (uncorrected): -1746 meV/atom

Geometry as POSCAR:
```
TbCe2PuSe4
1.0
7.206 0.000 0.000
0.000 4.143 0.000
-2.378 0.000 6.835
Tb Ce Pu Se
1 2 1 4
direct
0.000 0.000 0.000 Tb
0.000 0.500 0.500 Ce
0.500 0.000 0.500 Ce
0.500 0.500 0.000 Pu
0.246 0.500 0.241 Se
0.251 0.000 0.758 Se
0.749 0.000 0.242 Se
0.754 0.500 0.759 Se
```

---

[9]
First-principles (GGA-PBE) data for a relaxed structure of Dy3TmTh6, as listed in Alexandria.

Results
* DFT total energy: -121.03 eV/cell
* symmetry: No. 148
* density of states at the Fermi level: 32.37 states/eV per cell
* calculated volume: 661.2 Å³ per cell

Geometry as POSCAR:
```
Dy3TmTh6
1.0
4.604 2.658 9.007
-4.604 2.658 9.007
0.000 -5.316 9.007
Dy Tm Th
6 2 12
direct
0.075 0.649 0.784 Dy
0.216 0.925 0.351 Dy
0.351 0.216 0.925 Dy
0.649 0.784 0.075 Dy
0.784 0.075 0.649 Dy
0.925 0.351 0.216 Dy
0.000 0.000 0.000 Tm
0.500 0.500 0.500 Tm
0.087 0.222 0.512 Th
0.201 0.343 0.633 Th
0.222 0.512 0.087 Th
0.343 0.633 0.201 Th
0.367 0.799 0.657 Th
0.488 0.913 0.778 Th
0.512 0.087 0.222 Th
0.633 0.201 0.343 Th
0.657 0.367 0.799 Th
0.778 0.488 0.913 Th
0.799 0.657 0.367 Th
0.913 0.778 0.488 Th
```

---

[10]
First-principles (GGA-PBE) data for a relaxed structure of Cd2In2Hg2Pb, as listed in Alexandria.

Results
* DFT total energy: -11.30 eV/cell
* symmetry: No. 12
* density of states at the Fermi level: 3.19 states/eV per cell
* calculated volume: 184.6 Å³ per cell

Geometry as POSCAR:
```
Cd2In2Hg2Pb
1.0
4.681 -2.412 0.000
4.681 2.412 0.000
-2.095 0.000 8.176
Cd In Hg Pb
2 2 2 1
direct
0.077 0.077 0.218 Cd
0.923 0.923 0.782 Cd
0.363 0.363 0.079 In
0.637 0.637 0.921 In
0.219 0.219 0.668 Hg
0.781 0.781 0.332 Hg
0.500 0.500 0.500 Pb
```

---

[11]
First-principles (GGA-PBE) data for a relaxed structure of HoZnPb, as listed in Alexandria.

Results
* DFT total energy: -20.56 eV/cell
* symmetry: No. 166
* density of states at the Fermi level: 4.34 states/eV per cell
* calculated volume: 156.3 Å³ per cell

Geometry as POSCAR:
```
HoZnPb
1.0
2.230 1.287 9.072
-2.230 1.287 9.072
0.000 -2.575 9.072
Ho Zn Pb
2 2 2
direct
0.063 0.063 0.063 Ho
0.937 0.937 0.937 Ho
0.336 0.336 0.336 Zn
0.664 0.664 0.664 Zn
0.197 0.197 0.197 Pb
0.803 0.803 0.803 Pb
```

---

[12]
First-principles (GGA-PBE) data for a relaxed structure of La15Cd2Rh5, as listed in Alexandria.

Results
* DFT total energy: -247.00 eV/cell
* symmetry: No. 160
* density of states at the Fermi level: 45.75 states/eV per cell
* calculated volume: 1323.7 Å³ per cell

Geometry as POSCAR:
```
La15Cd2Rh5
1.0
5.080 2.933 14.806
-5.080 2.933 14.806
0.000 -5.866 14.806
La Cd Rh
30 4 10
direct
0.003 0.003 0.003 La
0.095 0.095 0.488 La
0.095 0.488 0.095 La
0.133 0.508 0.508 La
0.155 0.155 0.155 La
0.185 0.185 0.563 La
0.185 0.563 0.185 La
0.273 0.652 0.652 La
0.328 0.328 0.708 La
0.328 0.708 0.328 La
0.329 0.946 0.946 La
0.419 0.790 0.790 La
0.471 0.471 0.848 La
0.471 0.848 0.471 La
0.488 0.095 0.095 La
0.508 0.133 0.508 La
0.508 0.508 0.133 La
0.560 0.945 0.945 La
0.563 0.185 0.185 La
0.652 0.273 0.652 La
0.652 0.652 0.273 La
0.708 0.328 0.328 La
0.746 0.746 0.746 La
0.790 0.419 0.790 La
0.790 0.790 0.419 La
0.848 0.471 0.471 La
0.945 0.560 0.945 La
0.945 0.945 0.560 La
0.946 0.329 0.946 La
0.946 0.946 0.329 La
0.146 0.827 0.827 Cd
0.827 0.146 0.827 Cd
0.827 0.827 0.146 Cd
0.875 0.875 0.875 Cd
0.071 0.636 0.636 Rh
0.180 0.180 0.749 Rh
0.180 0.749 0.180 Rh
0.269 0.269 0.269 Rh
0.337 0.337 0.895 Rh
0.337 0.895 0.337 Rh
0.636 0.071 0.636 Rh
0.636 0.636 0.071 Rh
0.749 0.180 0.180 Rh
0.895 0.337 0.337 Rh
```

---

[13]
First-principles (GGA-PBE) data for a relaxed structure of MgAsCl2, as listed in Alexandria.

Results
* DFT total energy: -11.67 eV/cell
* energy above the most stable polymorph in this dataset: 0.454 eV/atom
* symmetry: No. 25
* density of states at the Fermi level: 1.06 states/eV per cell
* calculated volume: 89.6 Å³ per cell
* E_form (uncorrected): -432 meV/atom

Geometry as POSCAR:
```
MgAsCl2
1.0
3.517 0.000 0.000
0.000 3.925 0.000
0.000 0.000 6.491
Mg As Cl
1 1 2
direct
0.000 0.000 0.000 Mg
0.500 0.500 0.726 As
0.000 0.000 0.373 Cl
0.500 0.500 0.100 Cl
```

---

[14]
First-principles (GGA-PBE) data for a relaxed structure of EuScCuRh, as listed in Alexandria.

Results
* DFT total energy: -29.42 eV/cell
* symmetry: No. 216
* density of states at the Fermi level: 4.63 states/eV per cell
* calculated volume: 78.9 Å³ per cell

Geometry as POSCAR:
```
EuScCuRh
1.0
0.000 3.404 3.404
3.404 0.000 3.404
3.404 3.404 0.000
Eu Sc Cu Rh
1 1 1 1
direct
0.000 0.000 0.000 Eu
0.500 0.500 0.500 Sc
0.750 0.750 0.750 Cu
0.250 0.250 0.250 Rh
```

---

[15]
First-principles (GGA-PBE) data for a relaxed structure of SrPrZnPb, as listed in Alexandria.

Results
* DFT total energy: -12.85 eV/cell
* symmetry: No. 216
* density of states at the Fermi level: 4.11 states/eV per cell
* calculated volume: 121.9 Å³ per cell

Geometry as POSCAR:
```
SrPrZnPb
1.0
0.000 3.935 3.935
3.935 0.000 3.935
3.935 3.935 0.000
Sr Pr Zn Pb
1 1 1 1
direct
0.000 0.000 0.000 Sr
0.500 0.500 0.500 Pr
0.250 0.250 0.250 Zn
0.750 0.750 0.750 Pb
```

---

[16]
First-principles (GGA-PBE) data for a relaxed structure of Ca3Pm2TcN6, as listed in Alexandria.

Results
* DFT total energy: -85.88 eV/cell
* symmetry: No. 12
* density of states at the Fermi level: 4.13 states/eV per cell
* calculated volume: 172.3 Å³ per cell
* E_form (uncorrected): -838 meV/atom

Geometry as POSCAR:
```
Ca3Pm2TcN6
1.0
2.974 -5.154 0.000
2.974 5.154 0.000
-1.979 0.000 5.622
Ca Pm Tc N
3 2 1 6
direct
0.000 0.000 0.000 Ca
0.339 0.661 0.000 Ca
0.661 0.339 0.000 Ca
0.168 0.832 0.500 Pm
0.832 0.168 0.500 Pm
0.500 0.500 0.500 Tc
0.127 0.425 0.275 N
0.281 0.281 0.715 N
0.425 0.127 0.275 N
0.575 0.873 0.725 N
0.719 0.719 0.285 N
0.873 0.575 0.725 N
```

---

[17]
First-principles (GGA-PBE) data for a relaxed structure of AcLa8Pm4, as listed in Alexandria.

Results
* DFT total energy: -57.89 eV/cell
* symmetry: No. 166
* density of states at the Fermi level: 23.16 states/eV per cell
* calculated volume: 505.1 Å³ per cell

Geometry as POSCAR:
```
AcLa8Pm4
1.0
5.974 3.449 4.087
-5.974 3.449 4.087
0.000 -6.898 4.087
Ac La Pm
1 8 4
direct
0.000 0.000 0.000 Ac
0.172 0.667 0.667 La
0.270 0.270 0.270 La
0.333 0.333 0.828 La
0.333 0.828 0.333 La
0.667 0.172 0.667 La
0.667 0.667 0.172 La
0.730 0.730 0.730 La
0.828 0.333 0.333 La
0.000 0.000 0.500 Pm
0.000 0.500 0.000 Pm
0.500 0.000 0.000 Pm
0.500 0.500 0.500 Pm
```

---

[18]
First-principles (GGA-PBE) data for a relaxed structure of Er4ZrAg5, as listed in Alexandria.

Results
* DFT total energy: -43.58 eV/cell
* symmetry: No. 123
* density of states at the Fermi level: 5.13 states/eV per cell
* calculated volume: 227.7 Å³ per cell

Geometry as POSCAR:
```
Er4ZrAg5
1.0
3.554 0.000 0.000
0.000 3.554 0.000
0.000 0.000 18.033
Er Zr Ag
4 1 5
direct
0.000 0.000 0.102 Er
0.000 0.000 0.306 Er
0.000 0.000 0.694 Er
0.000 0.000 0.898 Er
0.000 0.000 0.500 Zr
0.500 0.500 0.000 Ag
0.500 0.500 0.204 Ag
0.500 0.500 0.407 Ag
0.500 0.500 0.593 Ag
0.500 0.500 0.796 Ag
```

---

[19]
First-principles (GGA-PBE) data for a relaxed structure of Ba2AlNi, as listed in Alexandria.

Results
* DFT total energy: -12.25 eV/cell
* symmetry: No. 216
* density of states at the Fermi level: 5.35 states/eV per cell
* calculated volume: 111.7 Å³ per cell

Geometry as POSCAR:
```
Ba2AlNi
1.0
0.000 3.823 3.823
3.823 0.000 3.823
3.823 3.823 0.000
Ba Al Ni
2 1 1
direct
0.000 0.000 0.000 Ba
0.250 0.250 0.250 Ba
0.500 0.500 0.500 Al
0.750 0.750 0.750 Ni
```

---

[20]
First-principles (GGA-PBE) data for a relaxed structure of Co2SiIr, as listed in Alexandria.

Results
* DFT total energy: -29.39 eV/cell
* symmetry: No. 139
* density of states at the Fermi level: 4.38 states/eV per cell
* calculated volume: 47.1 Å³ per cell
* E_form (uncorrected): -225 meV/atom

Geometry as POSCAR:
```
Co2SiIr
1.0
-1.803 1.803 3.625
1.803 -1.803 3.625
1.803 1.803 -3.625
Co Si Ir
2 1 1
direct
0.250 0.750 0.500 Co
0.750 0.250 0.500 Co
0.000 0.000 0.000 Si
0.500 0.500 0.000 Ir
```

---

[21]
First-principles (GGA-PBE) data for a relaxed structure of PrCu6Ni2, as listed in Alexandria.

Results
* DFT total energy: -38.41 eV/cell
* symmetry: No. 191
* density of states at the Fermi level: 5.26 states/eV per cell
* calculated volume: 154.0 Å³ per cell

Geometry as POSCAR:
```
PrCu6Ni2
1.0
4.831 0.000 0.000
-2.416 4.184 0.000
0.000 0.000 7.620
Pr Cu Ni
1 6 2
direct
0.000 0.000 0.000 Pr
0.000 0.500 0.240 Cu
0.000 0.500 0.760 Cu
0.500 0.000 0.240 Cu
0.500 0.000 0.760 Cu
0.500 0.500 0.240 Cu
0.500 0.500 0.760 Cu
0.333 0.667 0.500 Ni
0.667 0.333 0.500 Ni
```

---

[22]
First-principles (GGA-PBE) data for a relaxed structure of CaAcPm2Sb4, as listed in Alexandria.

Results
* DFT total energy: -40.61 eV/cell
* symmetry: No. 10
* density of states at the Fermi level: 4.75 states/eV per cell
* calculated volume: 274.2 Å³ per cell
* E_form (uncorrected): -1064 meV/atom

Geometry as POSCAR:
```
CaAcPm2Sb4
1.0
7.878 0.000 0.000
0.000 4.581 0.000
-2.650 0.000 7.598
Ca Ac Pm Sb
1 1 2 4
direct
0.000 0.000 0.000 Ca
0.500 0.500 0.000 Ac
0.000 0.500 0.500 Pm
0.500 0.000 0.500 Pm
0.240 0.000 0.736 Sb
0.249 0.500 0.261 Sb
0.751 0.500 0.739 Sb
0.760 0.000 0.264 Sb
```